40
Lattice="-7.394 -2.406 0.555 2.868 -6.692 9.197 -3.335 11.174 4.010" Properties=species:S:1:pos:R:3 comment="KLaP2Se6 SCAN single point on PBEsol structure" spacegroup=P2_1/c raw_formation_energy_kj_per_mol_atoms=-96.8 pbc="T T T"
P -4.494 -0.932 3.645
P -4.529 1.104 9.911
P 0.352 -1.642 8.281
P -3.366 3.007 10.117
P -3.332 0.972 3.851
P -2.834 6.994 5.371
P -8.212 3.718 5.481
P -5.027 -4.918 8.391
K 0.002 -1.265 3.958
K -7.862 3.341 9.804
K -0.989 -5.400 8.739
K -6.872 7.476 5.023
Se -1.780 2.781 8.624
Se -5.463 -0.860 1.668
Se -2.736 9.068 4.709
Se -4.561 -4.379 6.306
Se -1.138 3.937 5.166
Se -0.120 -2.139 10.379
Se -7.740 4.214 3.383
Se -5.480 1.137 7.920
Se -6.846 4.644 6.910
Se -1.891 0.958 2.211
Se -3.299 6.455 7.455
Se -4.900 2.544 3.753
Se -4.172 5.815 4.097
Se -6.723 -1.862 8.596
Se -2.961 -0.469 10.009
Se -4.749 4.600 9.567
Se -2.397 2.935 12.094
Se -3.689 -3.740 9.665
Se -3.112 -2.525 4.195
Se -5.125 -6.992 9.052
Se -1.014 -2.569 6.852
Se -5.970 1.117 11.551
Se -2.380 0.939 5.842
Se -6.081 -0.706 5.138
La -3.947 3.602 6.535
La -0.334 0.965 10.970
La -7.527 1.111 2.792
La -3.914 -1.526 7.227